Entry 1:
A plane-wave DFT calculation with PBE was carried out for a relaxed BaSi2Mo crystal.

Cell and atoms, written as extended XYZ:
```
4
Lattice="3.648 0.000 0.000 0.000 3.575 0.028 0.000 1.732 6.928" Properties=species:S:1:pos:R:3 pbc="T T T"
Si 1.824 0.661 1.247
Ba 0.000 2.433 3.202
Si 0.000 2.405 6.594
Mo 1.824 4.195 6.318
```

Calculated values
- Uncorrected energy: -23.6 eV per formula unit
- Energy above the most stable polymorph in this dataset: 139 meV per atom
- Symmetry: Amm2
- Uncorrected formation energy: 0.0019 eV per atom
- Fermi-level density of states: 2.35 states/eV per cell


Entry 2:
A plane-wave DFT calculation with PBE was carried out for a relaxed Pr3B2Pd9Pt crystal.

Cell and atoms, written as extended XYZ:
```
15
Lattice="-3.958 2.909 3.070 4.322 -2.745 2.709 5.320 7.826 -0.558" Properties=species:S:1:pos:R:3 pbc="T T T"
Pd -1.979 1.455 1.535
Pr 0.914 4.131 2.728
Pd 0.182 0.082 2.889
Pd 2.411 1.793 4.163
B 2.332 0.272 2.749
Pr 0.000 0.000 0.000
Pt 2.660 3.913 -0.279
B 3.352 7.718 2.473
Pd 1.278 7.663 2.605
Pd 3.273 6.197 1.058
Pd 3.456 6.279 3.970
Pr 4.770 3.859 2.493
Pd 4.406 0.327 2.616
Pd 2.161 -1.373 1.355
Pd 2.228 1.711 1.251
```

Calculated values
- Uncorrected energy: -89.6 eV per formula unit
- Symmetry: P-3m1
- Fermi-level density of states: 4.69 states/eV per cell
- Energy of formation from the pure elements: -9.2 eV/f.u.